# MgTc2Mo | Alexandria via LeMat-Bulk | PBE-GGA | optimized geometry
data_MgTc2Mo
_space_group_name_H-M_alt 'P 1'
_space_group_IT_number 1
_cell_length_a 4.4688
_cell_length_b 2.6817
_cell_length_c 5.2355
_cell_angle_alpha 78.73
_cell_angle_beta 90.00
_cell_angle_gamma 90.00
loop_
_space_group_symop_operation_xyz
'x,y,z'
loop_
_atom_site_label
_atom_site_fract_x
_atom_site_fract_y
_atom_site_fract_z
Tc1 0.5000 0.2161 0.2576
Tc2 0.0000 0.0007 0.9982
Mo1 0.5000 0.7864 0.7487
Mg1 0.0000 0.4968 0.4955
# Density of states at the Fermi level (states/eV/cell): 3.023
# E (eV per atom): -8.12
# DFT formation energy (meV/atom): 172


# Sm2Hg3Pb2 | Alexandria via LeMat-Bulk | PBE-GGA | optimized geometry
data_Sm2Hg3Pb2
_space_group_name_H-M_alt 'P 1'
_space_group_IT_number 1
_cell_length_a 8.0757
_cell_length_b 8.0757
_cell_length_c 8.0757
_cell_angle_alpha 109.47
_cell_angle_beta 109.47
_cell_angle_gamma 109.47
loop_
_space_group_symop_operation_xyz
'x,y,z'
loop_
_atom_site_label
_atom_site_fract_x
_atom_site_fract_y
_atom_site_fract_z
Sm1 0.5290 0.0290 0.0290
Sm2 0.5000 0.4710 0.5000
Sm3 0.9710 0.5000 0.0000
Sm4 0.0000 0.0000 0.4710
Hg1 0.2500 0.9798 0.2298
Hg2 0.7702 0.2500 0.5202
Hg3 0.0202 0.2702 0.2500
Hg4 0.7500 0.5202 0.2702
Hg5 0.4798 0.2298 0.7500
Hg6 0.7298 0.7500 0.9798
Pb1 0.1331 0.6331 0.6331
Pb2 0.0000 0.0000 0.8669
Pb3 0.3669 0.5000 0.0000
Pb4 0.5000 0.8669 0.5000
# Density of states at the Fermi level (states/eV/cell): 11.718
# E (eV per atom): -2.72
# DFT formation energy (meV/atom): -184


# Tb2ZnCo | Alexandria via LeMat-Bulk | PBE-GGA | optimized geometry
data_Tb2ZnCo
_space_group_name_H-M_alt 'P 1'
_space_group_IT_number 1
_cell_length_a 3.7843
_cell_length_b 3.7843
_cell_length_c 9.5714
_cell_angle_alpha 78.60
_cell_angle_beta 78.60
_cell_angle_gamma 60.00
loop_
_space_group_symop_operation_xyz
'x,y,z'
loop_
_atom_site_label
_atom_site_fract_x
_atom_site_fract_y
_atom_site_fract_z
Tb1 0.8861 0.8861 0.3418
Tb2 0.1139 0.1139 0.6582
Zn1 0.0000 0.0000 0.0000
Co1 0.5000 0.5000 0.5000
# Density of states at the Fermi level (states/eV/cell): 2.809
# E (eV per atom): -4.25
# DFT formation energy (meV/atom): 161


# KBaInSe3 | Alexandria via LeMat-Bulk | PBE-GGA | optimized geometry
data_KBaInSe3
_space_group_name_H-M_alt 'P 1'
_space_group_IT_number 1
_cell_length_a 4.3511
_cell_length_b 7.7439
_cell_length_c 13.2451
_cell_angle_alpha 90.00
_cell_angle_beta 90.00
_cell_angle_gamma 106.32
loop_
_space_group_symop_operation_xyz
'x,y,z'
loop_
_atom_site_label
_atom_site_fract_x
_atom_site_fract_y
_atom_site_fract_z
Se1 0.6461 0.2922 0.0979
Se2 0.3539 0.7078 0.9021
Se3 0.9267 0.8534 0.2500
Se4 0.0733 0.1466 0.7500
Se5 0.6461 0.2922 0.4021
Se6 0.3539 0.7078 0.5979
In1 0.5384 0.0767 0.2500
In2 0.4616 0.9233 0.7500
K1 0.0000 0.0000 0.0000
K2 0.0000 0.0000 0.5000
Ba1 0.7509 0.5018 0.7500
Ba2 0.2491 0.4982 0.2500
# Raw formation energy (eV/atom): -1.226
# E (eV per atom): -3.93


# Tb3Pr8Y2 | Alexandria via LeMat-Bulk | PBE-GGA | optimized geometry
data_Tb3Pr8Y2
_space_group_name_H-M_alt 'P 1'
_space_group_IT_number 1
_cell_length_a 5.8083
_cell_length_b 7.7640
_cell_length_c 11.0251
_cell_angle_alpha 110.62
_cell_angle_beta 90.04
_cell_angle_gamma 90.00
loop_
_space_group_symop_operation_xyz
'x,y,z'
loop_
_atom_site_label
_atom_site_fract_x
_atom_site_fract_y
_atom_site_fract_z
Pr1 0.9990 0.3272 0.6543
Pr2 0.4999 0.4002 0.2108
Pr3 0.0011 0.8687 0.7375
Pr4 0.9989 0.1313 0.2625
Pr5 0.5001 0.5998 0.7892
Pr6 0.0010 0.6728 0.3457
Pr7 0.4999 0.8106 0.2108
Pr8 0.5001 0.1894 0.7892
Tb1 0.0000 0.7152 0.0000
Tb2 0.0000 0.2848 0.0000
Tb3 0.5000 0.0000 0.0000
Y1 0.4984 0.2400 0.4801
Y2 0.5016 0.7600 0.5199
# Density of states at the Fermi level (states/eV/cell): 18.763
# E (eV per atom): -4.81
# DFT formation energy (meV/atom): 197


# V2BSb | Alexandria via LeMat-Bulk | PBE-GGA | optimized geometry
data_V2BSb
_space_group_name_H-M_alt 'P 1'
_space_group_IT_number 1
_cell_length_a 4.2827
_cell_length_b 4.2827
_cell_length_c 4.2827
_cell_angle_alpha 60.00
_cell_angle_beta 60.00
_cell_angle_gamma 60.00
loop_
_space_group_symop_operation_xyz
'x,y,z'
loop_
_atom_site_label
_atom_site_fract_x
_atom_site_fract_y
_atom_site_fract_z
Sb1 0.5000 0.5000 0.5000
V1 0.2500 0.2500 0.2500
V2 0.7500 0.7500 0.7500
B1 0.0000 0.0000 0.0000
# Raw formation energy (eV/atom): 0.604
# Density of states at the Fermi level (states/eV/cell): 6.507
# E (eV per atom): -6.66


# Cu2NiW | Alexandria via LeMat-Bulk | PBE-GGA | optimized geometry
data_Cu2NiW
_space_group_name_H-M_alt 'P 1'
_space_group_IT_number 1
_cell_length_a 4.7236
_cell_length_b 4.7236
_cell_length_c 2.5618
_cell_angle_alpha 90.00
_cell_angle_beta 90.00
_cell_angle_gamma 114.60
loop_
_space_group_symop_operation_xyz
'x,y,z'
loop_
_atom_site_label
_atom_site_fract_x
_atom_site_fract_y
_atom_site_fract_z
Cu1 0.5000 0.5000 0.0000
Cu2 0.0000 0.0000 0.0000
Ni1 0.5000 0.0000 0.5000
W1 0.0000 0.5000 0.5000
# Density of states at the Fermi level (states/eV/cell): 4.243
# E (eV per atom): -6.39
# DFT formation energy (meV/atom): 338


# CdRe2Pb | Alexandria via LeMat-Bulk | PBE-GGA | optimized geometry
data_CdRe2Pb
_space_group_name_H-M_alt 'P 1'
_space_group_IT_number 1
_cell_length_a 3.0818
_cell_length_b 3.0841
_cell_length_c 8.8019
_cell_angle_alpha 79.96
_cell_angle_beta 90.00
_cell_angle_gamma 90.00
loop_
_space_group_symop_operation_xyz
'x,y,z'
loop_
_atom_site_label
_atom_site_fract_x
_atom_site_fract_y
_atom_site_fract_z
Re1 0.0000 0.9107 0.0519
Re2 0.5000 0.3324 0.2106
Pb1 0.5000 0.5419 0.7912
Cd1 0.0000 0.7150 0.4463
# Density of states at the Fermi level (states/eV/cell): 1.002
# E (eV per atom): -7.04
# DFT formation energy (meV/atom): 338